{"formula": "Ac2ThPaAs4", "functional": "PBE", "state": "relaxed", "energy_ev_per_cell": -54.35, "spacegroup": "No. 10", "formation_energy_ev_per_fu": -10.6, "lattice_angstrom": [[4.326, 0.000, 0.000], [0.000, 7.487, 0.129], [0.000, -2.618, 7.125]], "species": ["Ac", "Ac", "Th", "Pa", "As", "As", "As", "As"], "frac_coords": [[0.500, 0.000, 0.500], [0.000, 0.500, 0.500], [0.500, 0.500, 0.000], [0.000, 0.000, 0.000], [0.500, 0.233, 0.222], [0.500, 0.767, 0.778], [0.000, 0.250, 0.774], [0.000, 0.750, 0.226]]}

***

{"formula": "KAgSCl2", "functional": "PBE", "state": "relaxed", "energy_ev_per_cell": -14.69, "raw_formation_energy_ev_per_atom": -0.5842, "spacegroup": "No. 123", "relative_energy_ev_per_atom": 0.000, "lattice_angstrom": [[5.306, 0.000, 0.000], [0.000, 5.306, 0.000], [0.000, 0.000, 4.821]], "species": ["K", "S", "Ag", "Cl", "Cl"], "frac_coords": [[0.500, 0.500, 0.500], [0.000, 0.000, 0.500], [0.000, 0.000, 0.000], [0.000, 0.500, 0.000], [0.500, 0.000, 0.000]]}

***

{"formula": "Tb2SbPN5", "functional": "PBE", "state": "relaxed", "energy_ev_per_cell": -131.74, "raw_formation_energy_ev_per_atom": -0.6055, "spacegroup": "No. 36", "lattice_angstrom": [[-2.828, 1.387, 0.505], [-0.117, -1.195, -7.443], [-4.137, -8.984, 1.508]], "species": ["Tb", "Tb", "Tb", "Tb", "Sb", "Sb", "P", "P", "N", "N", "N", "N", "N", "N", "N", "N", "N", "N"], "frac_coords": [[0.876, 0.752, 0.828], [0.108, 0.217, 0.675], [0.124, 0.248, 0.328], [0.892, 0.783, 0.175], [0.792, 0.583, 0.541], [0.208, 0.417, 0.041], [0.543, 0.086, 0.922], [0.457, 0.914, 0.422], [0.345, 0.690, 0.006], [0.653, 0.306, 0.888], [0.494, 0.988, 0.776], [0.285, 0.569, 0.689], [0.986, 0.973, 0.500], [0.655, 0.310, 0.506], [0.347, 0.694, 0.388], [0.506, 0.012, 0.276], [0.715, 0.431, 0.189], [0.014, 0.027, 0.000]]}

***

{"formula": "SrY5", "functional": "PBE", "state": "relaxed", "energy_ev_per_cell": -33.43, "spacegroup": "No. 8", "formation_energy_ev_per_fu": 0.6, "relative_energy_ev_per_atom": 0.000, "lattice_angstrom": [[6.963, -0.006, -0.001], [5.987, 3.555, -0.001], [1.997, 0.547, 8.467]], "species": ["Sr", "Y", "Y", "Y", "Y", "Y"], "frac_coords": [[0.998, 0.998, 0.002], [0.329, 0.329, 0.344], [0.672, 0.672, 0.657], [0.619, 0.619, 0.290], [0.943, 0.943, 0.604], [0.272, 0.272, 0.937]]}

***

{"formula": "Rb2TcNiC", "functional": "PBE", "state": "relaxed", "energy_ev_per_cell": -19.85, "spacegroup": "No. 123", "formation_energy_ev_per_fu": 7.5, "lattice_angstrom": [[6.607, 0.000, 0.000], [0.000, 3.525, 0.000], [0.000, 0.000, 6.607]], "species": ["Ni", "C", "Tc", "Rb", "Rb"], "frac_coords": [[0.000, 0.000, 0.000], [0.000, 0.500, 0.000], [0.500, 0.500, 0.500], [0.000, 0.000, 0.500], [0.500, 0.000, 0.000]]}

***

{"formula": "Nd3DyEr7", "functional": "PBE", "state": "relaxed", "energy_ev_per_cell": -49.16, "spacegroup": "No. 10", "formation_energy_ev_per_fu": 1.7, "relative_energy_ev_per_atom": 0.000, "lattice_angstrom": [[-6.554, 5.875, -0.896], [0.012, -5.541, -8.417], [0.077, -4.589, 3.022]], "species": ["Nd", "Nd", "Nd", "Dy", "Er", "Er", "Er", "Er", "Er", "Er", "Er"], "frac_coords": [[0.215, 0.996, 0.716], [0.000, 0.500, 0.000], [0.785, 0.004, 0.284], [0.500, 0.500, 0.500], [0.905, 0.829, 0.905], [0.816, 0.637, 0.316], [0.640, 0.289, 0.141], [0.360, 0.711, 0.859], [0.500, 0.000, 0.500], [0.184, 0.363, 0.684], [0.095, 0.171, 0.095]]}